[1]
# PBEsol KBaCa2, relaxed
data_KBaCa2
_cell_length_a 4.632
_cell_length_b 6.416
_cell_length_c 13.355
_cell_angle_alpha 90.00
_cell_angle_beta 90.00
_cell_angle_gamma 90.00
_space_group_name_H-M_alt 'C m m m'
_space_group_IT_number 65
_space_group_name_Hall '-C 2 2'
loop_
_atom_site_label
_atom_site_fract_x
_atom_site_fract_y
_atom_site_fract_z
_atom_site_occupancy
K1 0.000 0.000 0.000 1
Ba1 0.000 0.000 0.500 1
Ca1 0.000 0.500 0.260 1
# Total magnetic moment, μB per formula unit: 0.00
# Formation energy from the elements, kcal/mol of atoms: 2.3

=====

[2]
# PBEsol Pm2ZnSi, relaxed
data_Pm2ZnSi
_cell_length_a 7.124
_cell_length_b 7.124
_cell_length_c 7.124
_cell_angle_alpha 90.00
_cell_angle_beta 90.00
_cell_angle_gamma 90.00
_space_group_name_H-M_alt 'F m -3 m'
_space_group_IT_number 225
_space_group_name_Hall '-F 4 2 3'
loop_
_atom_site_label
_atom_site_fract_x
_atom_site_fract_y
_atom_site_fract_z
_atom_site_occupancy
Pm1 0.250 0.250 0.250 1
Zn1 0.000 0.000 0.000 1
Si1 0.000 0.000 0.500 1
# Formation energy from raw total energies, eV per atom: -0.4709
# Total magnetic moment, μB per formula unit: 0.00

=====

[3]
# PBEsol Gd2Mo3O12, relaxed
data_Gd2Mo3O12
_cell_length_a 7.595
_cell_length_b 11.371
_cell_length_c 11.353
_cell_angle_alpha 90.00
_cell_angle_beta 109.54
_cell_angle_gamma 90.00
_space_group_name_H-M_alt 'C 1 2/c 1'
_space_group_IT_number 15
loop_
_space_group_symop_operation_xyz
'x,y,z'
'-x,-y,-z'
'-x,y,-z+1/2'
'x,-y,z+1/2'
'x+1/2,y+1/2,z'
'-x+1/2,-y+1/2,-z'
'-x+1/2,y+1/2,-z+1/2'
'x+1/2,-y+1/2,z+1/2'
loop_
_atom_site_label
_atom_site_fract_x
_atom_site_fract_y
_atom_site_fract_z
_atom_site_occupancy
Gd1 0.167 0.123 0.092 1
Mo1 0.000 0.130 0.750 1
Mo2 0.146 0.392 0.553 1
O1 0.052 0.284 0.443 1
O2 0.059 0.462 0.921 1
O3 0.128 0.209 0.890 1
O4 0.136 0.049 0.460 1
O5 0.167 0.042 0.720 1
O6 0.228 0.320 0.699 1
# Formation energy from raw total energies, eV per atom: -2.5244
# Total magnetic moment, μB per formula unit: 13.91

=====

[4]
# PBEsol CdCu, relaxed
data_CdCu
_cell_length_a 9.746
_cell_length_b 3.022
_cell_length_c 6.697
_cell_angle_alpha 90.00
_cell_angle_beta 109.80
_cell_angle_gamma 90.00
_space_group_name_H-M_alt 'C 1 m 1'
_space_group_IT_number 8
loop_
_space_group_symop_operation_xyz
'x,y,z'
'x,-y,z'
'x+1/2,y+1/2,z'
'x+1/2,-y+1/2,z'
loop_
_atom_site_label
_atom_site_fract_x
_atom_site_fract_y
_atom_site_fract_z
_atom_site_occupancy
Cd1 0.000 0.000 0.000 1
Cd2 0.005 0.000 0.562 1
Cd3 0.318 0.000 0.204 1
Cu1 0.152 0.500 0.370 1
Cu2 0.196 0.500 0.857 1
Cu3 0.307 0.000 0.661 1
# Total magnetic moment, μB per formula unit: 0.00
# Formation energy from the elements, kcal/mol of atoms: 1.3

=====

[5]
# PBEsol TaAlFe6, relaxed
data_TaAlFe6
_cell_length_a 6.022
_cell_length_b 11.224
_cell_length_c 11.179
_cell_angle_alpha 90.00
_cell_angle_beta 90.00
_cell_angle_gamma 90.00
_space_group_name_H-M_alt 'C m m m'
_space_group_IT_number 65
_space_group_name_Hall '-C 2 2'
loop_
_atom_site_label
_atom_site_fract_x
_atom_site_fract_y
_atom_site_fract_z
_atom_site_occupancy
Ta1 0.000 0.000 0.247 1
Ta2 0.000 0.247 0.500 1
Al1 0.000 0.249 0.000 1
Al2 0.000 0.500 0.246 1
Fe1 0.000 0.000 0.000 1
Fe2 0.000 0.000 0.500 1
Fe3 0.000 0.253 0.244 1
Fe4 0.000 0.500 0.000 1
Fe5 0.000 0.500 0.500 1
Fe6 0.245 0.375 0.373 1
Fe7 0.248 0.374 0.122 1
# Total magnetic moment, μB per formula unit: 10.40
# Formation energy from the elements, kcal/mol of atoms: -2.7

=====

[6]
# PBEsol HgSb2W, relaxed
data_HgSb2W
_cell_length_a 3.218
_cell_length_b 3.218
_cell_length_c 8.382
_cell_angle_alpha 90.00
_cell_angle_beta 90.00
_cell_angle_gamma 90.00
_space_group_name_H-M_alt 'P 4 m m'
_space_group_IT_number 99
loop_
_space_group_symop_operation_xyz
'x,y,z'
'-y,x,z'
'-x,-y,z'
'y,-x,z'
'-x,y,z'
'y,x,z'
'x,-y,z'
'-y,-x,z'
loop_
_atom_site_label
_atom_site_fract_x
_atom_site_fract_y
_atom_site_fract_z
_atom_site_occupancy
Hg1 0.000 0.000 0.000 1
Sb1 0.000 0.000 0.589 1
Sb2 0.500 0.500 0.279 1
W1 0.500 0.500 0.777 1
# Formation energy from raw total energies, eV per atom: 0.5589
# Total magnetic moment, μB per formula unit: 0.00

=====

[7]
# PBEsol Zr2CuRh, relaxed
data_Zr2CuRh
_cell_length_a 4.593
_cell_length_b 4.593
_cell_length_c 3.232
_cell_angle_alpha 90.00
_cell_angle_beta 90.00
_cell_angle_gamma 90.00
_space_group_name_H-M_alt 'P 4/m m m'
_space_group_IT_number 123
_space_group_name_Hall '-P 4 2'
loop_
_atom_site_label
_atom_site_fract_x
_atom_site_fract_y
_atom_site_fract_z
_atom_site_occupancy
Zr1 0.000 0.500 0.000 1
Cu1 0.000 0.000 0.500 1
Rh1 0.500 0.500 0.500 1
# Total magnetic moment, μB per formula unit: 0.00
# Formation energy from the elements, kcal/mol of atoms: -10.1

=====

[8]
# PBEsol InHgOs2, relaxed
data_InHgOs2
_cell_length_a 2.906
_cell_length_b 4.654
_cell_length_c 5.060
_cell_angle_alpha 90.00
_cell_angle_beta 90.60
_cell_angle_gamma 90.00
_space_group_name_H-M_alt 'P 1 2/m 1'
_space_group_IT_number 10
loop_
_space_group_symop_operation_xyz
'x,y,z'
'-x,-y,-z'
'-x,y,-z'
'x,-y,z'
loop_
_atom_site_label
_atom_site_fract_x
_atom_site_fract_y
_atom_site_fract_z
_atom_site_occupancy
In1 0.000 0.000 0.000 1
Hg1 0.500 0.000 0.500 1
Os1 0.298 0.500 0.224 1
# Total magnetic moment, μB per formula unit: 0.00
# Formation energy from the elements, kcal/mol of atoms: 18.5

=====

- What is the total magnetic moment in the fifth record?
  10.40 μB per formula unit

=====

- Which value of total magnetic moment does entry 1 give?
  0.00 μB per formula unit

=====

- Which of these has the highest total magnetic moment?
  Gd2Mo3O12